{
  "formula": "LaZr2Al",
  "functional": "PBE-GGA",
  "state": "optimized geometry",
  "lattice": [[-1.625, 4.044, -0.716], [-1.844, -0.030, 4.013], [6.914, 6.190, 5.653]],
  "species": ["La", "La", "Zr", "Zr", "Zr", "Zr", "Al", "Al"],
  "frac_coords": [[0.750, 0.250, 0.500], [0.000, 0.000, 0.000], [0.611, 0.125, 0.250], [0.375, 0.389, 0.750], [0.139, 0.625, 0.250], [0.875, 0.861, 0.750], [0.250, 0.750, 0.500], [0.500, 0.500, 0.000]],
  "e_form_ev_per_fu": 0.85,
  "m_tot_mub_per_cell": 0.0
}

{
  "formula": "Ti3S2Cl4",
  "functional": "PBE-GGA",
  "state": "optimized geometry",
  "lattice": [[3.303, 0.000, 0.000], [-1.651, 2.860, 0.000], [0.000, 0.000, 20.844]],
  "species": ["Ti", "Ti", "Ti", "Cl", "Cl", "Cl", "Cl", "S", "S"],
  "frac_coords": [[0.667, 0.333, 0.000], [0.000, 0.000, 0.676], [0.000, 0.000, 0.324], [0.667, 0.333, 0.601], [0.667, 0.333, 0.399], [0.667, 0.333, 0.752], [0.667, 0.333, 0.248], [0.000, 0.000, 0.927], [0.000, 0.000, 0.073]],
  "e_form_raw_mev_per_atom": -1392,
  "m_tot_mub_per_cell": 0.0
}

{
  "formula": "SmYZn",
  "functional": "PBE-GGA",
  "state": "optimized geometry",
  "lattice": [[-1.192, -0.019, 3.423], [-2.812, -2.061, -0.991], [5.320, -4.030, -0.088]],
  "species": ["Y", "Zn", "Sm"],
  "frac_coords": [[0.025, 0.025, 0.050], [0.663, 0.663, 0.326], [0.312, 0.312, 0.624]],
  "e_form_ev_per_fu": -0.64,
  "m_tot_mub_per_cell": 0.0,
  "relative_energy_ev_per_atom": 0.000
}

{
  "formula": "Zn2Si2Ge",
  "functional": "PBE-GGA",
  "state": "optimized geometry",
  "lattice": [[4.050, 0.000, 0.000], [0.000, 4.050, 0.000], [2.025, 2.025, 5.337]],
  "species": ["Zn", "Zn", "Si", "Si", "Ge"],
  "frac_coords": [[0.750, 0.250, 0.500], [0.250, 0.750, 0.500], [0.392, 0.392, 0.216], [0.608, 0.608, 0.784], [0.000, 0.000, 0.000]],
  "e_form_raw_mev_per_atom": 319,
  "m_tot_mub_per_cell": 0.0,
  "relative_energy_ev_per_atom": 0.000
}

{
  "formula": "LaYTl",
  "functional": "PBE-GGA",
  "state": "optimized geometry",
  "lattice": [[5.337, 0.000, 0.000], [2.668, 4.622, 0.000], [2.668, 1.541, 4.357]],
  "species": ["La", "Y", "Tl"],
  "frac_coords": [[0.500, 0.500, 0.500], [0.000, 0.000, 0.000], [0.750, 0.750, 0.750]],
  "e_form_ev_per_fu": -0.24,
  "m_tot_mub_per_cell": 0.4,
  "relative_energy_ev_per_atom": 0.210
}

{
  "formula": "Pu2Ge3Ir",
  "functional": "PBE-GGA",
  "state": "optimized geometry",
  "lattice": [[-3.746, -0.809, -0.355], [0.249, -2.669, 3.466], [-1.637, 5.626, 4.450]],
  "species": ["Pu", "Pu", "Ge", "Ge", "Ge", "Ir"],
  "frac_coords": [[0.000, 0.500, 0.015], [0.000, 0.000, 0.491], [0.500, 0.000, 0.832], [0.500, 0.000, 0.169], [0.500, 0.500, 0.665], [0.500, 0.500, 0.328]],
  "e_form_ev_per_fu": -2.80,
  "m_tot_mub_per_cell": 10.2,
  "relative_energy_ev_per_atom": 0.016
}